DFT (PBE) results for an optimized crystal structure of KBeCdSe2. Values from VASP.

```
&SYSTEM
  ibrav = 0, nat = 10, ntyp = 4
/
ATOMIC_SPECIES
K 39.10 K.upf
Be 9.01 Be.upf
Cd 112.41 Cd.upf
Se 78.96 Se.upf
ATOMIC_POSITIONS angstrom
K -0.118 1.211 1.927
K -0.355 3.826 5.782
Be 3.659 2.518 0.000
Be 3.422 2.518 3.855
Cd 3.541 0.462 1.927
Cd 3.304 4.574 5.782
Se 1.597 1.372 7.022
Se 1.834 3.665 3.167
Se 5.011 1.372 4.542
Se 5.248 3.665 0.688
CELL_PARAMETERS angstrom
7.319 0.000 0.000
0.000 5.037 0.000
-0.474 0.000 7.709
```

## Properties
ΔE_f (raw) = -0.51 eV per atom
DFT total energy = -3.048 eV/atom